DFT (PBE) results for a geometry-optimized Sc2Pa2Fe3 structure.

Results
calculated volume = 19.1 Å³ per atom
SG = C2/m, No. 12
E_form = -228 meV/atom
DFT total energy = -8.377 eV per atom
magnetic moment = 0.00 μB/atom

Cell: 6.6790 6.6790 4.6807 Å, 95.49 95.49 40.03°
Sites, in units of the cell vectors:
Sc1 0.0931 0.0931 0.3283
Sc2 0.9069 0.9069 0.6717
Pa1 0.3501 0.3501 0.1369
Pa2 0.6499 0.6499 0.8631
Fe1 0.2863 0.2863 0.6802
Fe2 0.5000 0.5000 0.5000
Fe3 0.7137 0.7137 0.3198